[1]
This record from Alexandria describes LiHoPa4N8 after structural relaxation. The functional is PBE.

The raw formation energy is -1462 meV/atom. Its symmetry is R3m, No. 160. The total energy comes out at -9.40 eV/atom. The value obtained for the magnetization is 0.00 μB per cell.

Cell lengths 7.082, 7.082, 6.518 Å; angles 57.09, 57.09, 60.00 degrees
Positions (direct):
N 0.770 0.281 0.668
Pa 0.497 0.996 0.511
N 0.231 0.231 0.307
N 0.220 0.762 0.257
N 0.748 0.748 0.756
Pa 0.594 0.594 0.219
N 0.281 0.770 0.668
Pa 0.996 0.497 0.511
Ho 0.376 0.376 0.871
N 0.762 0.762 0.257
N 0.762 0.220 0.257
Pa 0.996 0.996 0.511
N 0.281 0.281 0.668
Li 0.987 0.987 0.038

***

[2]
This record from Alexandria describes Li2Ho2PaN4 after structural relaxation. The functional is PBE.

The raw formation energy is -1079 meV/atom. Its symmetry is C2/m, No. 12. The total energy comes out at -7.28 eV/atom. The value obtained for the magnetization is 0.27 μB per cell.

Cell lengths 3.373, 6.284, 5.921 Å; angles 108.83, 90.00, 105.57 degrees
Last column: magnetic moment on the atom in μB.
Positions (direct):
Ho 0.858 0.716 0.435  0.04
N 0.530 0.059 0.757  -0.01
N 0.788 0.577 0.767  0.00
Ho 0.142 0.284 0.565  0.04
Pa 0.000 0.000 0.000  0.17
Li 0.690 0.379 0.000  0.00
Li 0.310 0.621 0.000  0.00
N 0.212 0.423 0.233  0.00
N 0.470 0.941 0.243  -0.01

***

[3]
This record from Alexandria describes LiHoPaN3 after structural relaxation. The functional is PBE.

The raw formation energy is -1281 meV/atom. Its symmetry is P2_1/m, No. 11. The total energy comes out at -8.11 eV/atom. The value obtained for the magnetization is 0.00 μB per cell.

Cell lengths 3.319, 7.278, 6.773 Å; angles 101.55, 90.00, 90.00 degrees
Positions (direct):
Ho 0.250 0.653 0.189
N 0.250 0.591 0.836
Ho 0.750 0.347 0.811
Li 0.250 0.083 0.591
N 0.750 0.186 0.460
Li 0.750 0.917 0.409
N 0.250 0.123 0.882
Pa 0.750 0.815 0.785
N 0.750 0.409 0.164
N 0.750 0.877 0.118
N 0.250 0.814 0.540
Pa 0.250 0.185 0.215

***

[4]
This record from Alexandria describes LiHo2PaN4 after structural relaxation. The functional is PBE.

The raw formation energy is -1435 meV/atom. Its symmetry is P2/m, No. 10. The total energy comes out at -8.17 eV/atom. The value obtained for the magnetization is 0.00 μB per cell.

Cell lengths 3.525, 5.748, 5.877 Å; angles 106.09, 90.00, 90.00 degrees
Positions (direct):
Ho 0.500 0.000 0.500
Li 0.500 0.500 0.000
N 0.500 0.751 0.752
N 0.000 0.790 0.257
Ho 0.000 0.500 0.500
N 0.500 0.249 0.248
N 0.000 0.210 0.743
Pa 0.000 0.000 0.000

***

[5]
This record from Alexandria describes LiHo3Pa2N6 after structural relaxation. The functional is PBE.

The raw formation energy is -1535 meV/atom. Its symmetry is C2/m, No. 12. The total energy comes out at -8.58 eV/atom. The value obtained for the magnetization is 0.00 μB per cell.

Cell lengths 3.488, 6.976, 7.554 Å; angles 104.13, 103.35, 90.00 degrees
Positions (direct):
Ho 0.160 0.836 0.320
N 0.009 0.271 0.018
N 0.331 0.417 0.661
N 0.991 0.729 0.982
Pa 0.161 0.319 0.321
Ho 0.840 0.164 0.680
Li 0.500 0.000 0.000
Pa 0.839 0.681 0.679
Ho 0.500 0.500 0.000
N 0.332 0.909 0.663
N 0.668 0.091 0.337
N 0.669 0.583 0.339

***

[6]
This record from Alexandria describes LiHoPu2N4 after structural relaxation. The functional is PBE.

The raw formation energy is -1156 meV/atom. Its symmetry is Cmcm, No. 63. The total energy comes out at -9.71 eV/atom. The value obtained for the magnetization is 16.00 μB per cell.

Cell lengths 3.428, 5.816, 11.128 Å; angles 90.00, 90.00, 107.14 degrees
Last column: magnetic moment on the atom in μB.
Positions (direct):
Li 0.840 0.681 0.750  0.01
N 0.731 0.462 0.886  -0.18
N 0.452 0.905 0.750  -0.15
Pu 0.370 0.740 0.559  4.27
N 0.731 0.462 0.614  -0.18
Pu 0.370 0.740 0.941  4.27
N 0.000 0.000 0.000  -0.23
Ho 0.894 0.788 0.250  0.07
Pu 0.630 0.260 0.059  4.27
N 0.548 0.095 0.250  -0.15
Pu 0.630 0.260 0.441  4.27
Ho 0.106 0.212 0.750  0.07
N 0.269 0.538 0.114  -0.18
Li 0.160 0.319 0.250  0.01
N 0.269 0.538 0.386  -0.18
N 0.000 0.000 0.500  -0.23

***

[7]
This record from Alexandria describes LiHoPuN3 after structural relaxation. The functional is PBE.

The raw formation energy is -1013 meV/atom. Its symmetry is P2_1/m, No. 11. The total energy comes out at -8.65 eV/atom. The value obtained for the magnetization is 6.00 μB per cell.

Cell lengths 3.402, 7.006, 6.772 Å; angles 102.45, 90.00, 90.00 degrees
Last column: magnetic moment on the atom in μB.
Positions (direct):
N 0.750 0.888 0.137  -0.12
Li 0.750 0.926 0.420  0.00
Li 0.250 0.074 0.580  0.00
N 0.250 0.591 0.867  -0.17
Ho 0.250 0.179 0.212  0.03
Pu 0.250 0.674 0.180  3.43
N 0.250 0.789 0.484  -0.15
Pu 0.750 0.326 0.820  3.43
N 0.250 0.112 0.863  -0.12
N 0.750 0.409 0.133  -0.17
Ho 0.750 0.821 0.788  0.03
N 0.750 0.211 0.516  -0.15

***

[8]
This record from Alexandria describes LiHo2PuN4 after structural relaxation. The functional is PBE.

The raw formation energy is -1229 meV/atom. Its symmetry is P2/m, No. 10. The total energy comes out at -8.57 eV/atom. The value obtained for the magnetization is 3.00 μB per cell.

Cell lengths 3.488, 5.731, 5.740 Å; angles 106.20, 90.00, 90.00 degrees
Last column: magnetic moment on the atom in μB.
Positions (direct):
Li 0.500 0.500 0.000  0.00
N 0.500 0.746 0.748  -0.11
N 0.500 0.254 0.252  -0.11
N 0.000 0.793 0.243  -0.15
Ho 0.000 0.500 0.500  0.02
Ho 0.500 0.000 0.500  0.00
Pu 0.000 0.000 0.000  3.49
N 0.000 0.207 0.757  -0.15

***

[9]
This record from Alexandria describes Li2HoReN4 after structural relaxation. The functional is PBE.

The raw formation energy is -759 meV/atom. Its symmetry is P1, No. 1. The total energy comes out at -7.53 eV/atom. The value obtained for the magnetization is 0.00 μB per cell.

Cell lengths 6.531, 6.528, 7.829 Å; angles 123.31, 123.26, 64.55 degrees
Positions (direct):
Li 0.993 0.005 0.570
N 0.228 0.682 0.436
N 0.819 0.273 0.065
N 0.194 0.144 0.917
Li 0.495 0.507 0.930
N 0.651 0.685 0.879
Ho 0.050 0.549 0.062
Re 0.498 0.491 0.581
N 0.356 0.306 0.582
N 0.216 0.781 0.052
N 0.816 0.849 0.621
Li 0.439 0.932 0.435
Li 0.567 0.060 0.067
Re 0.009 0.002 0.919
Ho 0.951 0.450 0.438
N 0.719 0.284 0.448

***

[10]
This record from Alexandria describes LiHo2TaN4 after structural relaxation. The functional is PBE.

The raw formation energy is -1384 meV/atom. Its symmetry is Fmm2, No. 42. The total energy comes out at -8.41 eV/atom. The value obtained for the magnetization is 0.00 μB per cell.

Cell lengths 4.705, 4.705, 5.805 Å; angles 114.02, 114.02, 89.75 degrees
Positions (direct):
Ho 0.684 0.184 0.500
N 0.478 0.935 0.000
N 0.724 0.724 0.566
Ho 0.184 0.684 0.500
Li 0.443 0.443 0.000
N 0.158 0.158 0.434
Ta 0.892 0.892 0.000
N 0.935 0.478 0.000

***

[11]
This record from Alexandria describes Li2HoTa3N6 after structural relaxation. The functional is PBE.

The raw formation energy is -1206 meV/atom. Its symmetry is C2/m, No. 12. The total energy comes out at -9.03 eV/atom. The value obtained for the magnetization is 0.00 μB per cell.

Cell lengths 5.378, 5.378, 5.648 Å; angles 98.97, 98.97, 120.06 degrees
Positions (direct):
N 0.573 0.908 0.724
Li 0.666 0.334 0.000
Ta 0.171 0.829 0.500
N 0.908 0.573 0.724
Ho 0.000 0.000 0.000
Ta 0.500 0.500 0.500
N 0.427 0.092 0.276
N 0.759 0.759 0.280
N 0.241 0.241 0.720
Li 0.334 0.666 0.000
N 0.092 0.427 0.276
Ta 0.829 0.171 0.500

***

[12]
This record from Alexandria describes LiHoTa4N8 after structural relaxation. The functional is PBE.

The raw formation energy is -1033 meV/atom. Its symmetry is R3m, No. 160. The total energy comes out at -9.64 eV/atom. The value obtained for the magnetization is 0.00 μB per cell.

Cell lengths 6.319, 6.319, 6.339 Å; angles 60.10, 60.10, 60.00 degrees
Positions (direct):
N 0.741 0.244 0.275
Ta 0.622 0.622 0.134
N 0.802 0.243 0.712
N 0.244 0.741 0.275
Ho 0.380 0.380 0.861
Ta 0.002 0.002 0.511
Li 0.001 0.001 0.998
Ta 0.002 0.485 0.511
Ta 0.485 0.002 0.511
N 0.741 0.741 0.275
N 0.243 0.243 0.712
N 0.243 0.802 0.712
N 0.758 0.758 0.727
N 0.237 0.237 0.289

***

[13]
This record from Alexandria describes LiHoTaN3 after structural relaxation. The functional is PBE.

The raw formation energy is -1120 meV/atom. Its symmetry is P2_1/m, No. 11. The total energy comes out at -8.34 eV/atom. The value obtained for the magnetization is 0.00 μB per cell.

Cell lengths 3.169, 6.701, 6.740 Å; angles 103.48, 90.00, 90.00 degrees
Positions (direct):
Ta 0.250 0.673 0.183
N 0.750 0.219 0.517
N 0.250 0.555 0.835
N 0.750 0.867 0.132
N 0.750 0.445 0.165
Ho 0.250 0.205 0.233
Ta 0.750 0.327 0.817
Li 0.250 0.077 0.586
N 0.250 0.781 0.483
Li 0.750 0.923 0.414
Ho 0.750 0.795 0.767
N 0.250 0.133 0.868

***

[14]
This record from Alexandria describes Li2HoTc2N4 after structural relaxation. The functional is PBE.

The raw formation energy is -491 meV/atom. Its symmetry is C2/m, No. 12. The total energy comes out at -7.43 eV/atom. The value obtained for the magnetization is 0.00 μB per cell.

Cell lengths 3.270, 7.140, 8.030 Å; angles 138.23, 90.00, 103.23 degrees
Positions (direct):
Li 0.158 0.316 0.553
N 0.776 0.552 0.865
N 0.224 0.448 0.135
N 0.554 0.108 0.274
Li 0.842 0.684 0.447
N 0.446 0.892 0.726
Tc 0.643 0.287 0.902
Ho 0.000 0.000 0.000
Tc 0.357 0.713 0.098

***

[15]
This record from Alexandria describes LiHo2UN4 after structural relaxation. The functional is PBE.

The raw formation energy is -1352 meV/atom. Its symmetry is P2/m, No. 10. The total energy comes out at -8.31 eV/atom. The value obtained for the magnetization is 0.82 μB per cell.

Cell lengths 3.482, 5.722, 5.799 Å; angles 106.36, 90.00, 90.00 degrees
Last column: magnetic moment on the atom in μB.
Positions (direct):
N 0.000 0.749 0.247  -0.03
Ho 0.500 0.000 0.500  0.07
N 0.000 0.251 0.753  -0.03
Ho 0.000 0.500 0.500  0.02
N 0.500 0.292 0.245  -0.02
Li 0.000 0.000 0.000  0.00
N 0.500 0.708 0.755  -0.02
U 0.500 0.500 0.000  0.74

***

[16]
This record from Alexandria describes LiHoUN3 after structural relaxation. The functional is PBE.

The raw formation energy is -1180 meV/atom. Its symmetry is P2_1/m, No. 11. The total energy comes out at -8.31 eV/atom. The value obtained for the magnetization is 1.44 μB per cell.

Cell lengths 3.391, 7.031, 6.791 Å; angles 101.05, 90.00, 90.00 degrees
Last column: magnetic moment on the atom in μB.
Positions (direct):
N 0.750 0.413 0.132  -0.04
Ho 0.750 0.827 0.793  0.02
N 0.250 0.114 0.861  -0.03
Ho 0.250 0.173 0.207  0.02
Li 0.250 0.072 0.579  0.00
N 0.250 0.587 0.868  -0.04
N 0.750 0.886 0.139  -0.03
N 0.750 0.208 0.513  -0.03
N 0.250 0.792 0.487  -0.03
U 0.250 0.669 0.186  0.73
Li 0.750 0.928 0.421  0.00
U 0.750 0.331 0.814  0.73

***

[17]
This record from Alexandria describes LiHo2Zr3N6 after structural relaxation. The functional is PBE.

The raw formation energy is -1589 meV/atom. Its symmetry is C2/m, No. 12. The total energy comes out at -8.81 eV/atom. The value obtained for the magnetization is 0.00 μB per cell.

Cell lengths 3.306, 6.685, 7.391 Å; angles 103.97, 102.92, 90.00 degrees
Positions (direct):
N 0.005 0.730 0.010
Zr 0.500 0.500 0.000
Zr 0.161 0.836 0.321
N 0.995 0.270 0.990
Ho 0.838 0.677 0.676
N 0.329 0.927 0.659
Zr 0.839 0.164 0.679
Ho 0.162 0.323 0.324
N 0.663 0.591 0.327
Li 0.500 0.000 0.000
N 0.337 0.409 0.673
N 0.671 0.073 0.341

***

[18]
This record from Alexandria describes LiHoZr2N4 after structural relaxation. The functional is PBE.

The raw formation energy is -1442 meV/atom. Its symmetry is Cmcm, No. 63. The total energy comes out at -8.55 eV/atom. The value obtained for the magnetization is 0.00 μB per cell.

Cell lengths 3.265, 5.597, 11.048 Å; angles 90.00, 90.00, 106.96 degrees
Positions (direct):
Li 0.845 0.691 0.750
N 0.735 0.470 0.615
N 0.549 0.098 0.250
Zr 0.367 0.734 0.559
N 0.000 0.000 0.000
N 0.265 0.530 0.115
N 0.265 0.530 0.385
Zr 0.367 0.734 0.941
Ho 0.108 0.215 0.750
N 0.451 0.902 0.750
Zr 0.633 0.266 0.441
Li 0.155 0.309 0.250
Zr 0.633 0.266 0.059
N 0.735 0.470 0.885
N 0.000 0.000 0.500
Ho 0.892 0.785 0.250

***

[19]
This record from Alexandria describes NaLi2Ho after structural relaxation. The functional is PBE.

Its symmetry is P4/mmm, No. 123. The total energy comes out at -2.27 eV/atom. For the formation energy, the calculation gives 0.16 eV per atom. The value obtained for the magnetization is 0.00 μB per cell. For the energy above the most stable polymorph in this dataset, the calculation gives 0 meV per atom.

Cell lengths 3.458, 3.458, 8.923 Å; angles 90.00, 90.00, 90.00 degrees
Positions (direct):
Ho 0.500 0.500 0.500
Li 0.000 0.000 0.247
Li 0.000 0.000 0.753
Na 0.500 0.500 0.000

***

[20]
This record from Alexandria describes NaLi2Ho after structural relaxation. The functional is PBE.

Its symmetry is R-3m, No. 166. The total energy comes out at -2.21 eV/atom. For the formation energy, the calculation gives 0.22 eV per atom. The value obtained for the magnetization is 0.00 μB per cell. For the energy above the most stable polymorph in this dataset, the calculation gives 59 meV per atom.

Cell lengths 3.282, 3.282, 12.130 Å; angles 82.23, 82.23, 60.00 degrees
Positions (direct):
Ho 0.000 0.000 0.000
Li 0.085 0.085 0.744
Li 0.915 0.915 0.256
Na 0.500 0.500 0.500